# TbCeGdCd PBE relaxed
# **Energy of formation**: 0.034 eV per atom
# **N(E_F)**: 1.997 states/eV per atom
data_TbCeGdCd
_cell_length_a 7.6677
_cell_length_b 7.6677
_cell_length_c 7.6677
_cell_angle_alpha 90.00
_cell_angle_beta 90.00
_cell_angle_gamma 90.00
_symmetry_space_group_name_H-M 'F -4 3 m'
_symmetry_Int_Tables_number 216
_symmetry_space_group_name_Hall 'F -4 2 3'
loop_
_atom_site_label
_atom_site_type_symbol
_atom_site_fract_x
_atom_site_fract_y
_atom_site_fract_z
_atom_site_occupancy
Tb1 Tb 0.0000 0.0000 0.0000 1
Ce1 Ce 0.2500 0.2500 0.2500 1
Gd1 Gd 0.0000 0.0000 0.5000 1
Cd1 Cd 0.2500 0.2500 0.7500 1